# KMoAs2Se PBE-GGA relaxed
# **Excess energy over the best structure of this formula in the dataset**: 0 meV/atom
# **Fermi-level density of states**: 4.1 states/eV/cell
# **Formation energy without anion corrections**: -97 meV/atom
# **Total moment**: 0.00 μB per cell
data_KMoAs2Se
_chemical_formula_sum 'K1 Mo1 As2 Se1'
_space_group_name_H-M_alt 'P 4/m m m'
_space_group_IT_number 123
_space_group_name_Hall '-P 4 2'
_cell_length_a 4.9244
_cell_length_b 4.9244
_cell_length_c 5.2171
_cell_angle_alpha 90.00
_cell_angle_beta 90.00
_cell_angle_gamma 90.00
loop_
_atom_site_label
_atom_site_fract_x
_atom_site_fract_y
_atom_site_fract_z
K1 0.0000 0.0000 0.0000
Mo1 0.5000 0.5000 0.5000
As1 0.0000 0.5000 0.5000
Se1 0.5000 0.5000 0.0000